# 1
{"formula": "ZrInMo2", "functional": "PBE", "state": "optimized geometry", "lattice": [[-4.500, 2.936, 1.210], [-3.406, 1.430, 4.085], [0.812, 4.209, 1.895]], "species": ["In", "Mo", "Mo", "Zr"], "fractional_positions": [[0.739, 0.739, 0.761], [0.978, 0.978, 0.022], [0.270, 0.270, 0.230], [0.514, 0.514, 0.486]], "delta_e_f_ev_per_fu": 0.14, "density_g_cm3": 8.80, "final_energy_ev_per_cell": -32.808}

# 2
{"formula": "ZnC3", "functional": "PBE", "state": "optimized geometry", "lattice": [[2.246, -3.891, 0.000], [2.246, 3.891, 0.000], [0.000, 0.000, 7.417]], "species": ["Zn", "Zn", "C", "C", "C", "C", "C", "C"], "fractional_positions": [[0.333, 0.667, 0.250], [0.667, 0.333, 0.750], [0.892, 0.783, 0.250], [0.217, 0.108, 0.250], [0.892, 0.108, 0.250], [0.108, 0.217, 0.750], [0.783, 0.892, 0.750], [0.108, 0.892, 0.750]], "relative_energy_ev_per_atom": 1.581, "delta_e_f_ev_per_fu": 8.13, "density_g_cm3": 2.60, "final_energy_ev_per_cell": -41.622}

# 3
{"formula": "K2Tl5Hg4", "functional": "PBE", "state": "optimized geometry", "lattice": [[6.542, 0.000, 0.000], [3.271, 7.392, -0.336], [3.271, 1.336, 7.276]], "species": ["K", "K", "Tl", "Tl", "Tl", "Tl", "Tl", "Hg", "Hg", "Hg", "Hg"], "fractional_positions": [[0.305, 0.695, 0.695], [0.695, 0.305, 0.305], [0.249, 0.173, 0.827], [0.751, 0.827, 0.173], [0.000, 0.500, 0.500], [0.751, 0.173, 0.827], [0.249, 0.827, 0.173], [0.248, 0.091, 0.412], [0.752, 0.909, 0.588], [0.752, 0.587, 0.909], [0.248, 0.413, 0.091]], "delta_e_f_ev_per_fu": -1.16, "density_g_cm3": 8.91, "final_energy_ev_per_cell": -16.391}

# 4
{"formula": "Ga2CoRu2", "functional": "PBE", "state": "optimized geometry", "lattice": [[-5.048, -4.220, -1.591], [1.223, -3.580, 5.613], [-1.987, 1.784, 1.571]], "species": ["Ru", "Ru", "Ru", "Ru", "Co", "Co", "Ga", "Ga", "Ga", "Ga"], "fractional_positions": [[0.159, 0.659, 0.500], [0.659, 0.841, 0.500], [0.841, 0.341, 0.500], [0.341, 0.159, 0.500], [0.000, 0.000, 0.000], [0.500, 0.500, 0.000], [0.359, 0.859, 0.000], [0.859, 0.641, 0.000], [0.641, 0.141, 0.000], [0.141, 0.359, 0.000]], "delta_e_f_ev_per_fu": 0.15, "density_g_cm3": 9.37, "final_energy_ev_per_cell": -63.116}

# 5
{"formula": "NaLiAu", "functional": "PBE", "state": "optimized geometry", "lattice": [[-3.580, 1.145, -2.935], [2.883, -1.265, -4.009], [-3.533, -9.708, 0.522]], "species": ["Na", "Na", "Na", "Na", "Li", "Li", "Li", "Li", "Au", "Au", "Au", "Au"], "fractional_positions": [[0.250, 0.783, 0.576], [0.750, 0.217, 0.576], [0.250, 0.283, 0.076], [0.750, 0.717, 0.076], [0.250, 0.829, 0.857], [0.750, 0.171, 0.857], [0.250, 0.329, 0.357], [0.750, 0.671, 0.357], [0.250, 0.330, 0.772], [0.750, 0.670, 0.772], [0.250, 0.830, 0.272], [0.750, 0.170, 0.272]], "relative_energy_ev_per_atom": 0.032, "delta_e_f_ev_per_fu": -1.00, "density_g_cm3": 5.99, "final_energy_ev_per_cell": -30.033}

# 6
{"formula": "K2SiRh", "functional": "PBE", "state": "optimized geometry", "lattice": [[4.006, 0.000, 0.000], [0.000, 4.006, 0.000], [0.000, 0.000, 5.433]], "species": ["K", "K", "Rh", "Si"], "fractional_positions": [[0.000, 0.000, 0.000], [0.500, 0.500, 0.000], [0.500, 0.000, 0.500], [0.000, 0.500, 0.500]], "density_g_cm3": 3.98, "raw_formation_energy_mev_per_atom": 599, "final_energy_ev_per_cell": -12.572}

# 7
{"formula": "TbHfGa3", "functional": "PBE", "state": "optimized geometry", "lattice": [[-2.107, 0.027, -3.447], [0.745, -3.887, -0.486], [-10.781, -0.844, 6.583]], "species": ["Tb", "Tb", "Hf", "Hf", "Ga", "Ga", "Ga", "Ga", "Ga", "Ga"], "fractional_positions": [[0.250, 0.077, 0.153], [0.750, 0.923, 0.847], [0.250, 0.793, 0.586], [0.750, 0.207, 0.414], [0.250, 0.376, 0.752], [0.750, 0.624, 0.248], [0.250, 0.474, 0.949], [0.750, 0.526, 0.051], [0.750, 0.317, 0.634], [0.250, 0.683, 0.366]], "delta_e_f_ev_per_fu": -2.80, "density_g_cm3": 9.01, "final_energy_ev_per_cell": -52.933}

# 8
{"formula": "BaCaCu2", "functional": "PBE", "state": "optimized geometry", "lattice": [[-6.125, -3.350, -4.107], [4.880, -1.116, -6.367], [0.349, -5.659, -3.892]], "species": ["Ca", "Ca", "Ba", "Ba", "Cu", "Cu", "Cu", "Cu"], "fractional_positions": [[0.500, 0.500, 0.000], [0.250, 0.750, 0.500], [0.000, 0.000, 0.000], [0.750, 0.250, 0.500], [0.595, 0.125, 0.250], [0.155, 0.625, 0.250], [0.375, 0.405, 0.750], [0.875, 0.845, 0.750]], "relative_energy_ev_per_atom": 0.330, "delta_e_f_ev_per_fu": 1.10, "density_g_cm3": 4.05, "final_energy_ev_per_cell": -22.042}

# 9
{"formula": "BPH", "functional": "PBE", "state": "optimized geometry", "lattice": [[-1.465, -1.263, 1.462], [-0.520, -3.885, -1.861], [6.223, -3.129, 4.391]], "species": ["B", "B", "P", "P", "H", "H"], "fractional_positions": [[0.439, 0.199, 0.334], [0.094, 0.887, 0.334], [0.301, 0.544, 0.169], [0.232, 0.542, 0.499], [0.575, 0.946, 0.836], [0.491, 0.126, 0.832]], "relative_energy_ev_per_atom": 0.220, "density_g_cm3": 1.71, "final_energy_ev_per_cell": -29.756}

# 10
{"formula": "Y2TiBPb", "functional": "PBE", "state": "optimized geometry", "lattice": [[5.024, 0.000, 0.000], [0.000, 5.024, 0.000], [0.000, 0.000, 4.489]], "species": ["Pb", "Y", "Y", "B", "Ti"], "fractional_positions": [[0.500, 0.500, 0.500], [0.000, 0.500, 0.000], [0.500, 0.000, 0.000], [0.000, 0.000, 0.000], [0.000, 0.000, 0.500]], "delta_e_f_ev_per_fu": -1.69, "density_g_cm3": 6.50, "final_energy_ev_per_cell": -32.896}

# 11
{"formula": "Ba2Sc2Nb", "functional": "PBE", "state": "optimized geometry", "lattice": [[-4.620, 6.892, -3.401], [0.069, -3.931, -8.059], [-3.174, -1.726, 0.815]], "species": ["Sc", "Sc", "Sc", "Sc", "Nb", "Nb", "Ba", "Ba", "Ba", "Ba"], "fractional_positions": [[0.177, 0.677, 0.500], [0.677, 0.823, 0.500], [0.823, 0.323, 0.500], [0.323, 0.177, 0.500], [0.000, 0.000, 0.000], [0.500, 0.500, 0.000], [0.368, 0.868, 0.000], [0.868, 0.632, 0.000], [0.632, 0.132, 0.000], [0.132, 0.368, 0.000]], "delta_e_f_ev_per_fu": 5.51, "density_g_cm3": 5.10, "final_energy_ev_per_cell": -42.127}

# 12
{"formula": "CdSiGeN", "functional": "PBE", "state": "optimized geometry", "lattice": [[3.340, 0.000, 0.001], [1.669, 4.764, 0.015], [0.005, -4.569, 4.992]], "species": ["Ge", "N", "Si", "Cd"], "fractional_positions": [[0.967, 0.334, 0.956], [0.003, 0.264, 0.210], [0.250, 0.770, 0.996], [0.360, 0.547, 0.521]], "relative_energy_ev_per_atom": 0.265, "density_g_cm3": 4.73, "raw_formation_energy_mev_per_atom": 271, "final_energy_ev_per_cell": -18.197}